1.
VInSnBr6 | PBE | optimized geometry

a = 7.2502 Å, b = 7.2502 Å, c = 6.9136 Å
α = 90.00°, β = 90.00°, γ = 120.00°
Space group P312 (No. 149)
Symmetry-distinct sites (fractional):
V  0.0000  0.0000  0.0000 (multiplicity 1)
In  0.3333  0.6667  0.5000 (multiplicity 1)
Sn  0.6667  0.3333  0.0000 (multiplicity 1)
Br  0.2943  0.0130  0.2177 (multiplicity 6)

Electronic total energy, eV per atom: -3.656
V, Å³ per atom: 34.97

***

2.
V2InSnBr | PBE | optimized geometry

a = 5.290 Å, b = 5.290 Å, c = 5.771 Å
α = 90.00°, β = 90.00°, γ = 90.00°
Space group P4/mmm (No. 123)
Symmetry-distinct sites (fractional):
V  0.000  0.500  0.000 (multiplicity 2)
In  0.000  0.000  0.500 (multiplicity 1)
Sn  0.000  0.000  0.000 (multiplicity 1)
Br  0.500  0.500  0.500 (multiplicity 1)

Electronic total energy, eV per atom: -4.399
V, Å³ per atom: 32.30

***

3.
ZnInSnBr5 | PBE | optimized geometry

a = 9.659 Å, b = 12.653 Å, c = 10.617 Å
α = 90.00°, β = 114.65°, γ = 90.00°
Space group C2/c (No. 15)
Symmetry-distinct sites (fractional):
Zn  0.000  0.183  0.250 (multiplicity 4)
In  0.000  0.152  0.750 (multiplicity 4)
Sn  0.000  0.500  0.000 (multiplicity 4)
Br  0.000  0.405  0.750 (multiplicity 4)
Br  0.127  0.288  0.135 (multiplicity 8)
Br  0.174  0.068  0.435 (multiplicity 8)

Electronic total energy, eV per atom: -2.815
V, Å³ per atom: 36.85

***

4.
SrInBr6 | PBE | optimized geometry

a = 7.217 Å, b = 7.222 Å, c = 7.428 Å
α = 118.72°, β = 90.27°, γ = 119.96°
Space group P-1 (No. 2)
Symmetry-distinct sites (fractional):
Sr  0.000  0.000  0.000 (multiplicity 1)
In  0.500  0.000  0.500 (multiplicity 1)
Br  0.088  0.802  0.258 (multiplicity 2)
Br  0.290  0.834  0.747 (multiplicity 2)
Br  0.453  0.544  0.257 (multiplicity 2)

Electronic total energy, eV per atom: -2.851
V, Å³ per atom: 34.81

***

5.
SrInBr2 | PBE | optimized geometry

a = 8.826 Å, b = 8.826 Å, c = 7.665 Å
α = 90.00°, β = 90.00°, γ = 90.00°
Space group I-42d (No. 122)
Symmetry-distinct sites (fractional):
Sr  0.000  0.000  0.000 (multiplicity 4)
In  0.000  0.000  0.500 (multiplicity 4)
Br  0.211  0.250  0.125 (multiplicity 8)

Electronic total energy, eV per atom: -3.058
V, Å³ per atom: 37.32

***

6.
Sr2InBr2 | PBE | optimized geometry

a = 9.269 Å, b = 9.269 Å, c = 3.820 Å
α = 90.00°, β = 90.00°, γ = 90.00°
Space group P4/mbm (No. 127)
Symmetry-distinct sites (fractional):
Sr  0.180  0.320  0.000 (multiplicity 4)
In  0.000  0.000  0.500 (multiplicity 2)
Br  0.125  0.625  0.500 (multiplicity 4)

Electronic total energy, eV per atom: -2.932
V, Å³ per atom: 32.82

***

7.
Sr5In2Br12 | PBE | optimized geometry

a = 16.956 Å, b = 8.541 Å, c = 11.022 Å
α = 90.00°, β = 114.49°, γ = 90.00°
Space group C2/m (No. 12)
Symmetry-distinct sites (fractional):
Sr  0.000  0.000  0.000 (multiplicity 2)
Sr  0.203  0.500  0.877 (multiplicity 4)
Sr  0.217  0.500  0.455 (multiplicity 4)
In  0.000  0.205  0.500 (multiplicity 4)
Br  0.015  0.500  0.327 (multiplicity 4)
Br  0.094  0.000  0.313 (multiplicity 4)
Br  0.136  0.226  0.987 (multiplicity 8)
Br  0.203  0.261  0.653 (multiplicity 8)

Electronic total energy, eV per atom: -3.551
V, Å³ per atom: 38.23

***

8.
SrInBr | PBE | optimized geometry

a = 4.0964 Å, b = 4.0964 Å, c = 8.3556 Å
α = 90.00°, β = 90.00°, γ = 120.00°
Space group P3m1 (No. 156)
Symmetry-distinct sites (fractional):
Sr  0.0000  0.0000  0.0000 (multiplicity 1)
In  0.3333  0.6667  0.6876 (multiplicity 1)
Br  0.6667  0.3333  0.2255 (multiplicity 1)

Electronic total energy, eV per atom: -2.805
V, Å³ per atom: 40.48

***

9.
Sr3In2Br8 | PBE | optimized geometry

a = 16.160 Å, b = 9.169 Å, c = 7.832 Å
α = 90.00°, β = 109.10°, γ = 90.00°
Space group C2/m (No. 12)
Symmetry-distinct sites (fractional):
Sr  0.000  0.000  0.000 (multiplicity 2)
Sr  0.000  0.258  0.500 (multiplicity 4)
In  0.224  0.500  0.150 (multiplicity 4)
Br  0.106  0.000  0.409 (multiplicity 4)
Br  0.112  0.500  0.429 (multiplicity 4)
Br  0.114  0.228  0.898 (multiplicity 8)

Electronic total energy, eV per atom: -3.499
V, Å³ per atom: 42.17

***

10.
SrInBr2 | PBE | optimized geometry

a = 3.758 Å, b = 3.758 Å, c = 10.802 Å
α = 90.00°, β = 90.00°, γ = 90.00°
Space group P4/mmm (No. 123)
Symmetry-distinct sites (fractional):
Sr  0.000  0.000  0.000 (multiplicity 1)
In  0.000  0.000  0.500 (multiplicity 1)
Br  0.500  0.500  0.163 (multiplicity 2)

Electronic total energy, eV per atom: -3.142
V, Å³ per atom: 38.13

***

11.
SrInBr2 | PBE | optimized geometry

a = 5.978 Å, b = 4.446 Å, c = 6.101 Å
α = 90.00°, β = 100.11°, γ = 90.00°
Space group P2/m (No. 10)
Symmetry-distinct sites (fractional):
Sr  0.000  0.000  0.000 (multiplicity 1)
In  0.500  0.000  0.500 (multiplicity 1)
Br  0.222  0.500  0.776 (multiplicity 2)

Electronic total energy, eV per atom: -3.051
V, Å³ per atom: 39.91

***

Number 6 is which compound?
Sr2InBr2